1.
ZnBiH2Os | SCAN | single point on PBEsol structure

Properties
Electronic total energy ... -2.4444 Ry per atom
Total magnetic moment ... 0.00 μB per formula unit
Theoretical density ... 10.61 g/cm3

a b c (Å): 3.7165 3.7165 5.2885
angles (deg): 90.00 90.00 90.00
Closest atoms and distances in Å follow each position.
Fractional positions:
1 H 0.0000 0.5000 0.0000  2 Zn 1.86
2 H 0.5000 0.0000 0.0000  2 Zn 1.86
3 Zn 0.0000 0.0000 0.0000  4 H 1.86
4 Os 0.0000 0.0000 0.5000  4 Bi 2.63, 2 Zn 2.64
5 Bi 0.5000 0.5000 0.5000  4 Os 2.63


2.
Bi2PH | SCAN | single point on PBEsol structure

Properties
Electronic total energy ... -3.0939 Ry per atom
Total magnetic moment ... 0.00 μB per formula unit
Theoretical density ... 9.28 g/cm3

a b c (Å): 4.8477 4.8477 4.8477
angles (deg): 60.00 60.00 60.00
Closest atoms and distances in Å follow each position.
Fractional positions:
1 P 0.5000 0.5000 0.5000  8 Bi 2.97
2 Bi 0.2500 0.2500 0.2500  4 H 2.97, 4 P 2.97
3 Bi 0.7500 0.7500 0.7500  4 H 2.97, 4 P 2.97
4 H 0.0000 0.0000 0.0000  8 Bi 2.97


3.
ZrBi2PH | SCAN | single point on PBEsol structure

Properties
Electronic total energy ... -2.9039 Ry per atom
Total magnetic moment ... 0.47 μB per formula unit
Theoretical density ... 6.51 g/cm3

a b c (Å): 4.8560 5.3301 5.3301
angles (deg): 90.00 90.00 90.00
Closest atoms and distances in Å follow each position.
Fractional positions:
1 P 0.0000 0.0000 0.0000  2 Zr 2.43, 4 Bi 2.67
2 Bi 0.0000 0.0000 0.5000  2 P 2.67
3 Bi 0.0000 0.5000 0.0000  2 P 2.67
4 Zr 0.5000 0.0000 0.0000  2 P 2.43
5 H 0.5000 0.5000 0.5000  8 Bi 3.61, 4 Zr 3.77


4.
Bi2HPb | SCAN | single point on PBEsol structure

Properties
Electronic total energy ... -4.3174 Ry per atom
Total magnetic moment ... 0.00 μB per formula unit
Theoretical density ... 10.72 g/cm3

a b c (Å): 6.3288 6.3288 6.3288
angles (deg): 106.95 106.95 114.64
Closest atoms and distances in Å follow each position.
Fractional positions:
1 Pb 0.0000 0.0000 0.0000  8 Bi 3.35-3.42, 2 H 3.42
2 Pb 0.2500 0.7500 0.5000  8 Bi 3.35-3.42, 2 H 3.42
3 H 0.5000 0.5000 0.0000  4 Bi 2.32
4 H 0.7500 0.2500 0.5000  4 Bi 2.32
5 Bi 0.7635 0.8750 0.3885  2 H 2.32
6 Bi 0.4865 0.3750 0.6115  2 H 2.32
7 Bi 0.1250 0.5135 0.8885  2 H 2.32
8 Bi 0.6250 0.2365 0.1115  2 H 2.32


5.
BiH3Pb | SCAN | single point on PBEsol structure

Properties
Electronic total energy ... -2.3679 Ry per atom
Total magnetic moment ... 0.00 μB per formula unit
Theoretical density ... 9.07 g/cm3

a b c (Å): 4.2499 4.2499 4.2499
angles (deg): 90.00 90.00 90.00
Closest atoms and distances in Å follow each position.
Fractional positions:
1 Pb 0.5000 0.5000 0.5000  12 H 3.01
2 H 0.0000 0.5000 0.0000  2 Bi 2.12
3 H 0.0000 0.0000 0.5000  2 Bi 2.12
4 H 0.5000 0.0000 0.0000  2 Bi 2.12
5 Bi 0.0000 0.0000 0.0000  6 H 2.12


6.
BiH2Pd2 | SCAN | single point on PBEsol structure

Properties
Electronic total energy ... -2.2240 Ry per atom
Total magnetic moment ... 0.00 μB per formula unit
Theoretical density ... 11.23 g/cm3

a b c (Å): 3.3259 3.3259 6.1344
angles (deg): 105.73 105.73 90.00
Closest atoms and distances in Å follow each position.
Fractional positions:
1 H 0.2500 0.7500 0.5000  4 Pd 1.89
2 H 0.7500 0.2500 0.5000  4 Pd 1.89
3 Bi 0.0000 0.0000 0.0000  8 Pd 3.05, 8 H 3.28, 4 Bi 3.33
4 Pd 0.3293 0.3293 0.6586  4 H 1.89
5 Pd 0.6707 0.6707 0.3414  4 H 1.89


7.
BiH2Pd | SCAN | single point on PBEsol structure

Properties
Electronic total energy ... -2.1567 Ry per atom
Total magnetic moment ... 0.00 μB per formula unit
Theoretical density ... 10.07 g/cm3

a b c (Å): 4.4903 4.4903 6.0876
angles (deg): 111.64 111.64 90.00
Closest atoms and distances in Å follow each position.
Fractional positions:
1 H 0.6682 0.3750 0.2500  2 Pd 1.73
2 H 0.5818 0.8750 0.2500  2 Pd 1.73
3 H 0.6250 0.4182 0.7500  2 Pd 1.73
4 H 0.1250 0.3318 0.7500  2 Pd 1.73
5 Bi 0.2500 0.7500 0.5000  8 H 2.67-2.98
6 Bi 0.0000 0.0000 0.0000  8 H 2.67-2.98
7 Pd 0.7500 0.2500 0.5000  4 H 1.73
8 Pd 0.5000 0.5000 0.0000  4 H 1.73


8.
BiHPd2 | SCAN | single point on PBEsol structure

Properties
Electronic total energy ... -2.7218 Ry per atom
Total magnetic moment ... 0.00 μB per formula unit
Theoretical density ... 11.81 g/cm3

a b c (Å): 5.3650 5.3650 5.3650
angles (deg): 109.16 109.62 109.62
Closest atoms and distances in Å follow each position.
Fractional positions:
1 H 0.0000 0.5000 0.5000  4 Pd 1.84
2 H 0.5000 0.2500 0.7500  4 Pd 1.84
3 Bi 0.0000 0.0000 0.0000  8 Pd 2.87-3.00, 2 H 3.11
4 Bi 0.5000 0.7500 0.2500  8 Pd 2.87-3.00, 2 H 3.11
5 Pd 0.1467 0.8750 0.5217  2 H 1.84
6 Pd 0.8533 0.3750 0.7283  2 H 1.84
7 Pd 0.3533 0.4783 0.6250  2 H 1.84
8 Pd 0.6467 0.2717 0.1250  2 H 1.84